# 1
Compound: AlCd2Rh
Source: Alexandria via LeMat-Bulk
Functional: GGA-PBE
Structure: relaxed

**Energy**: -3.172 eV per atom
**ΔE_f**: 0.059 eV per atom
**Density of states at the Fermi level**: 7.33 states/eV/cell

The structure in CIF format:
```
data_AlCd2Rh
_space_group_name_H-M_alt 'R -3 m'
_space_group_IT_number 166
_space_group_name_Hall '-R 3 2"'
_cell_length_a 3.0235
_cell_length_b 3.0235
_cell_length_c 27.7001
_cell_angle_alpha 90.00
_cell_angle_beta 90.00
_cell_angle_gamma 120.00
loop_
_atom_site_label
_atom_site_type_symbol
_atom_site_fract_x
_atom_site_fract_y
_atom_site_fract_z
Al1 Al 0.0000 0.0000 0.0000
Cd1 Cd 0.0000 0.0000 0.2461
Rh1 Rh 0.0000 0.0000 0.5000
```

---

# 2
Compound: AlCdRh2
Source: Alexandria via LeMat-Bulk
Functional: GGA-PBE
Structure: relaxed

**Energy**: -5.065 eV per atom
**ΔE_f**: -0.225 eV per atom
**Density of states at the Fermi level**: 4.42 states/eV/cell

The structure in CIF format:
```
data_AlCdRh2
_space_group_name_H-M_alt 'P 4 m m'
_space_group_IT_number 99
_cell_length_a 3.179
_cell_length_b 3.179
_cell_length_c 6.330
_cell_angle_alpha 90.00
_cell_angle_beta 90.00
_cell_angle_gamma 90.00
loop_
_space_group_symop_operation_xyz
'x,y,z'
'-y,x,z'
'-x,-y,z'
'y,-x,z'
'-x,y,z'
'y,x,z'
'x,-y,z'
'-y,-x,z'
loop_
_atom_site_label
_atom_site_type_symbol
_atom_site_fract_x
_atom_site_fract_y
_atom_site_fract_z
Al1 Al 0.000 0.000 0.000
Cd1 Cd 0.500 0.500 0.310
Rh1 Rh 0.000 0.000 0.562
Rh2 Rh 0.500 0.500 0.836
```

---

# 3
Compound: AlCdRh2
Source: Alexandria via LeMat-Bulk
Functional: GGA-PBE
Structure: relaxed

**Energy**: -5.352 eV per atom
**ΔE_f**: -0.512 eV per atom
**Density of states at the Fermi level**: 1.87 states/eV/cell

The structure in CIF format:
```
data_AlCdRh2
_space_group_name_H-M_alt 'P 4/m m m'
_space_group_IT_number 123
_space_group_name_Hall '-P 4 2'
_cell_length_a 4.428
_cell_length_b 4.428
_cell_length_c 3.114
_cell_angle_alpha 90.00
_cell_angle_beta 90.00
_cell_angle_gamma 90.00
loop_
_atom_site_label
_atom_site_type_symbol
_atom_site_fract_x
_atom_site_fract_y
_atom_site_fract_z
Al1 Al 0.000 0.000 0.000
Cd1 Cd 0.500 0.500 0.000
Rh1 Rh 0.000 0.500 0.500
```

---

# 4
Compound: AlCd2Rh
Source: Alexandria via LeMat-Bulk
Functional: GGA-PBE
Structure: relaxed

**Energy**: -3.185 eV per atom
**ΔE_f**: 0.047 eV per atom
**Density of states at the Fermi level**: 2.50 states/eV/cell

The structure in CIF format:
```
data_AlCd2Rh
_space_group_name_H-M_alt 'P 4/m m m'
_space_group_IT_number 123
_space_group_name_Hall '-P 4 2'
_cell_length_a 3.028
_cell_length_b 3.028
_cell_length_c 8.121
_cell_angle_alpha 90.00
_cell_angle_beta 90.00
_cell_angle_gamma 90.00
loop_
_atom_site_label
_atom_site_type_symbol
_atom_site_fract_x
_atom_site_fract_y
_atom_site_fract_z
Al1 Al 0.000 0.000 0.000
Cd1 Cd 0.500 0.500 0.275
Rh1 Rh 0.000 0.000 0.500
```